Arrangement a

BeCuAsOs: optimized geometry, PBE.

Symmetry: F-43m (216)
V: 13.198 A^3/atom

```
BeCuAsOs
1.0
0.000 2.977 2.977
2.977 0.000 2.977
2.977 2.977 0.000
Be As Os Cu
1 1 1 1
direct
0.250 0.250 0.250
0.000 0.000 0.000
0.500 0.500 0.500
0.750 0.750 0.750
```

---

Arrangement b

BeCuAsOs: optimized geometry, PBE.

Symmetry: F-43m (216)
V: 12.796 A^3/atom

```
BeCuAsOs
1.0
-1.604 -3.708 -1.025
-4.132 -0.490 -0.237
-1.827 -0.527 -3.709
Cu As Be Os
1 1 1 1
direct
0.750 0.750 0.750
0.000 0.000 0.000
0.500 0.500 0.500
0.250 0.250 0.250
```

---

arrangement b wins, 30.6 kJ/mol of atoms ahead of the next structure.

---

Arrangement a

BeCuAsPt: optimized geometry, PBE.

Symmetry: F-43m (216)
V: 13.479 A^3/atom

```
BeCuAsPt
1.0
0.000 2.998 2.998
2.998 0.000 2.998
2.998 2.998 0.000
Pt As Cu Be
1 1 1 1
direct
0.500 0.500 0.500
0.250 0.250 0.250
0.000 0.000 0.000
0.750 0.750 0.750
```

---

Arrangement b

BeCuAsPt: optimized geometry, PBE.

Symmetry: F-43m (216)
V: 13.602 A^3/atom

```
BeCuAsPt
1.0
0.000 3.008 3.008
3.008 0.000 3.008
3.008 3.008 0.000
As Pt Cu Be
1 1 1 1
direct
0.000 0.000 0.000
0.500 0.500 0.500
0.750 0.750 0.750
0.250 0.250 0.250
```

---

arrangement a wins, 7.6 kJ/mol of atoms ahead of the next structure.

---

Arrangement a

BeCuAsW: optimized geometry, PBE.

Symmetry: F-43m (216)
V: 13.616 A^3/atom

```
BeCuAsW
1.0
0.208 -4.159 -0.873
-2.974 -1.812 -2.444
0.980 -1.303 -3.930
W Cu As Be
1 1 1 1
direct
0.500 0.500 0.500
0.750 0.750 0.750
0.000 0.000 0.000
0.250 0.250 0.250
```

---

Arrangement b

BeCuAsW: optimized geometry, PBE.

Symmetry: F-43m (216)
V: 13.286 A^3/atom

```
BeCuAsW
1.0
0.000 2.984 2.984
2.984 0.000 2.984
2.984 2.984 0.000
Cu W Be As
1 1 1 1
direct
0.750 0.750 0.750
0.250 0.250 0.250
0.500 0.500 0.500
0.000 0.000 0.000
```

---

arrangement b wins, 35.2 kJ/mol of atoms ahead of the next structure.

---

Arrangement a

ZrBeCuAs: optimized geometry, PBE.

Symmetry: F-43m (216)
V: 15.288 A^3/atom

```
ZrBeCuAs
1.0
1.512 -0.144 4.153
-1.913 2.462 3.136
-2.410 -1.932 3.165
Cu Be As Zr
1 1 1 1
direct
0.750 0.750 0.750
0.500 0.500 0.500
0.000 0.000 0.000
0.250 0.250 0.250
```

---

Arrangement b

ZrBeCuAs: optimized geometry, PBE.

Symmetry: F-43m (216)
V: 15.482 A^3/atom

```
ZrBeCuAs
1.0
-1.924 -3.844 1.115
-0.284 -1.184 4.271
-3.941 0.001 2.047
As Be Zr Cu
1 1 1 1
direct
0.000 0.000 0.000
0.250 0.250 0.250
0.500 0.500 0.500
0.750 0.750 0.750
```

---

arrangement a wins, 13.2 kJ/mol of atoms ahead of the next structure.

---

Arrangement a

BeFeHgAs: optimized geometry, PBE.

Symmetry: F-43m (216)
V: 15.918 A^3/atom

```
BeFeHgAs
1.0
0.000 3.169 3.169
3.169 0.000 3.169
3.169 3.169 0.000
Be Fe As Hg
1 1 1 1
direct
0.500 0.500 0.500
0.750 0.750 0.750
0.000 0.000 0.000
0.250 0.250 0.250
```

---

Arrangement b

BeFeHgAs: optimized geometry, PBE.

Symmetry: F-43m (216)
V: 15.590 A^3/atom

```
BeFeHgAs
1.0
0.000 3.147 3.147
3.147 0.000 3.147
3.147 3.147 0.000
As Fe Hg Be
1 1 1 1
direct
0.000 0.000 0.000
0.750 0.750 0.750
0.500 0.500 0.500
0.250 0.250 0.250
```

---

arrangement b wins, 12.2 kJ/mol of atoms ahead of the next structure.

---

Arrangement a

LaBeFeAs: optimized geometry, PBE.

Symmetry: F-43m (216)
V: 18.481 A^3/atom

```
LaBeFeAs
1.0
0.000 3.331 3.331
3.331 0.000 3.331
3.331 3.331 0.000
Fe Be La As
1 1 1 1
direct
0.000 0.000 0.000
0.750 0.750 0.750
0.500 0.500 0.500
0.250 0.250 0.250
```

---

Arrangement b

LaBeFeAs: optimized geometry, PBE.

Symmetry: F-43m (216)
V: 18.698 A^3/atom

```
LaBeFeAs
1.0
0.000 3.344 3.344
3.344 0.000 3.344
3.344 3.344 0.000
Be La Fe As
1 1 1 1
direct
0.750 0.750 0.750
0.250 0.250 0.250
0.000 0.000 0.000
0.500 0.500 0.500
```

---

arrangement a wins, 14.1 kJ/mol of atoms ahead of the next structure.

---

Arrangement a

LiBeFeAs: optimized geometry, PBE.

Symmetry: F-43m (216)
V: 10.771 A^3/atom

```
LiBeFeAs
1.0
1.345 -0.073 3.697
-1.568 2.382 2.711
-2.231 -1.493 2.877
Fe Be Li As
1 1 1 1
direct
0.250 0.250 0.250
0.500 0.500 0.500
0.750 0.750 0.750
0.000 0.000 0.000
```

---

Arrangement b

LiBeFeAs: optimized geometry, PBE.

Symmetry: F-43m (216)
V: 11.211 A^3/atom

```
LiBeFeAs
1.0
0.000 2.820 2.820
2.820 0.000 2.820
2.820 2.820 0.000
Li As Fe Be
1 1 1 1
direct
0.500 0.500 0.500
0.000 0.000 0.000
0.250 0.250 0.250
0.750 0.750 0.750
```

---

arrangement a wins, 17.8 kJ/mol of atoms ahead of the next structure.

---

Arrangement a

MgBeFeAs: optimized geometry, PBE.

Symmetry: F-43m (216)
V: 12.606 A^3/atom

```
MgBeFeAs
1.0
0.000 2.932 2.932
2.932 0.000 2.932
2.932 2.932 0.000
Be As Fe Mg
1 1 1 1
direct
0.500 0.500 0.500
0.000 0.000 0.000
0.750 0.750 0.750
0.250 0.250 0.250
```

---

Arrangement b

MgBeFeAs: optimized geometry, PBE.

Symmetry: F-43m (216)
V: 12.988 A^3/atom

```
MgBeFeAs
1.0
-0.986 0.244 4.063
-3.702 -1.425 1.346
-0.186 -3.481 2.322
As Mg Be Fe
1 1 1 1
direct
0.000 0.000 0.000
0.500 0.500 0.500
0.250 0.250 0.250
0.750 0.750 0.750
```

---

arrangement a wins, 13.3 kJ/mol of atoms ahead of the next structure.

---

Arrangement a

BeNbFeAs: optimized geometry, PBE.

Symmetry: F-43m (216)
V: 13.215 A^3/atom

```
BeNbFeAs
1.0
2.300 -3.521 -0.242
-1.582 -3.424 -1.876
1.532 -1.264 -3.715
Be Fe As Nb
1 1 1 1
direct
0.250 0.250 0.250
0.750 0.750 0.750
0.000 0.000 0.000
0.500 0.500 0.500
```

---

Arrangement b

BeNbFeAs: optimized geometry, PBE.

Symmetry: F-43m (216)
V: 13.226 A^3/atom

```
BeNbFeAs
1.0
1.344 -3.887 -0.914
1.102 -2.632 3.101
-2.420 -3.331 0.896
Nb Be Fe As
1 1 1 1
direct
0.250 0.250 0.250
0.500 0.500 0.500
0.750 0.750 0.750
0.000 0.000 0.000
```

---

arrangement b wins, 8.6 kJ/mol of atoms ahead of the next structure.

---

Arrangement a

BeFeAsOs: optimized geometry, PBE.

Symmetry: F-43m (216)
V: 11.681 A^3/atom

```
BeFeAsOs
1.0
0.000 2.859 2.859
2.859 0.000 2.859
2.859 2.859 0.000
As Fe Os Be
1 1 1 1
direct
0.000 0.000 0.000
0.750 0.750 0.750
0.250 0.250 0.250
0.500 0.500 0.500
```

---

Arrangement b

BeFeAsOs: optimized geometry, PBE.

Symmetry: F-43m (216)
V: 12.671 A^3/atom

```
BeFeAsOs
1.0
-3.169 -1.578 2.174
-2.823 2.533 1.693
-3.854 0.143 -1.544
Os As Fe Be
1 1 1 1
direct
0.500 0.500 0.500
0.000 0.000 0.000
0.750 0.750 0.750
0.250 0.250 0.250
```

---

arrangement a wins, 36.0 kJ/mol of atoms ahead of the next structure.

---

Arrangement a

BeFeReAs: optimized geometry, PBE.

Symmetry: F-43m (216)
V: 12.608 A^3/atom

```
BeFeReAs
1.0
0.000 2.932 2.932
2.932 0.000 2.932
2.932 2.932 0.000
Fe As Re Be
1 1 1 1
direct
0.750 0.750 0.750
0.000 0.000 0.000
0.500 0.500 0.500
0.250 0.250 0.250
```

---

Arrangement b

BeFeReAs: optimized geometry, PBE.

Symmetry: F-43m (216)
V: 11.902 A^3/atom

```
BeFeReAs
1.0
-3.022 -2.505 1.068
-3.861 1.030 -0.762
-2.107 -1.982 -2.861
As Re Fe Be
1 1 1 1
direct
0.000 0.000 0.000
0.250 0.250 0.250
0.750 0.750 0.750
0.500 0.500 0.500
```

---

arrangement b wins, 30.4 kJ/mol of atoms ahead of the next structure.

---

Arrangement a

ScBeFeAs: optimized geometry, PBE.

Symmetry: F-43m (216)
V: 12.711 A^3/atom

```
ScBeFeAs
1.0
1.758 -2.740 2.587
-1.557 -3.842 0.331
2.115 -3.239 -1.526
Fe As Be Sc
1 1 1 1
direct
0.250 0.250 0.250
0.000 0.000 0.000
0.750 0.750 0.750
0.500 0.500 0.500
```

---

Arrangement b

ScBeFeAs: optimized geometry, PBE.

Symmetry: F-43m (216)
V: 13.290 A^3/atom

```
ScBeFeAs
1.0
0.000 2.984 2.984
2.984 0.000 2.984
2.984 2.984 0.000
Be Sc Fe As
1 1 1 1
direct
0.750 0.750 0.750
0.000 0.000 0.000
0.500 0.500 0.500
0.250 0.250 0.250
```

---

Arrangement c

ScBeFeAs: optimized geometry, PBE.

Symmetry: F-43m (216)
V: 14.289 A^3/atom

```
ScBeFeAs
1.0
0.000 3.057 3.057
3.057 0.000 3.057
3.057 3.057 0.000
Sc Be Fe As
1 1 1 1
direct
0.750 0.750 0.750
0.250 0.250 0.250
0.500 0.500 0.500
0.000 0.000 0.000
```

---

arrangement b wins, 7.4 kJ/mol of atoms ahead of the next structure.